A plane-wave DFT calculation with PBE was carried out for a geometry-optimized MnVN3 structure.

Properties
- Crystal system: cubic
- Formation energy from raw total energies: 0.659 eV/atom
- Final energy: -40.0 eV for the cell shown

CIF file:
```
data_MnVN3
_space_group_name_H-M_alt 'P m -3 m'
_space_group_IT_number 221
_space_group_name_Hall '-P 4 2 3'
_cell_length_a 3.663
_cell_length_b 3.663
_cell_length_c 3.663
_cell_angle_alpha 90.00
_cell_angle_beta 90.00
_cell_angle_gamma 90.00
loop_
_atom_site_label
_atom_site_fract_x
_atom_site_fract_y
_atom_site_fract_z
Mn1 0.000 0.000 0.000
V1 0.500 0.500 0.500
N1 0.000 0.000 0.500
```


A plane-wave DFT calculation with PBE was carried out for a geometry-optimized MnVN2 structure.

Properties
- Crystal system: trigonal
- Formation energy from raw total energies: -0.336 eV/atom
- Final energy: -108.8 eV for the cell shown

CIF file:
```
data_MnVN2
_space_group_name_H-M_alt 'R -3 m'
_space_group_IT_number 166
_space_group_name_Hall '-R 3 2"'
_cell_length_a 2.8993
_cell_length_b 2.8993
_cell_length_c 17.7920
_cell_angle_alpha 90.00
_cell_angle_beta 90.00
_cell_angle_gamma 120.00
loop_
_atom_site_label
_atom_site_fract_x
_atom_site_fract_y
_atom_site_fract_z
Mn1 0.0000 0.0000 0.0000
V1 0.0000 0.0000 0.5000
N1 0.0000 0.0000 0.1056
```


A plane-wave DFT calculation with PBE was carried out for a geometry-optimized MnV3N structure.

Properties
- Polymorph energy (0 for the lowest one): 0 kJ/mol of formula units
- Crystal system: cubic
- Formation energy from raw total energies: -0.473 eV/atom
- Final energy: -47.2 eV for the cell shown

CIF file:
```
data_MnV3N
_space_group_name_H-M_alt 'P m -3 m'
_space_group_IT_number 221
_space_group_name_Hall '-P 4 2 3'
_cell_length_a 3.915
_cell_length_b 3.915
_cell_length_c 3.915
_cell_angle_alpha 90.00
_cell_angle_beta 90.00
_cell_angle_gamma 90.00
loop_
_atom_site_label
_atom_site_fract_x
_atom_site_fract_y
_atom_site_fract_z
Mn1 0.000 0.000 0.000
V1 0.000 0.500 0.500
N1 0.500 0.500 0.500
```


A plane-wave DFT calculation with PBE was carried out for a geometry-optimized MnVN structure.

Properties
- Polymorph energy (0 for the lowest one): 0 kJ/mol of formula units
- Crystal system: tetragonal
- Formation energy from raw total energies: -0.525 eV/atom
- Final energy: -112.8 eV for the cell shown

CIF file:
```
data_MnVN
_space_group_name_H-M_alt 'I 41 m d'
_space_group_IT_number 109
_space_group_name_Hall 'I 4bw -2'
_cell_length_a 3.988
_cell_length_b 3.988
_cell_length_c 7.748
_cell_angle_alpha 90.00
_cell_angle_beta 90.00
_cell_angle_gamma 90.00
loop_
_atom_site_label
_atom_site_fract_x
_atom_site_fract_y
_atom_site_fract_z
Mn1 0.000 0.000 0.000
V1 0.000 0.000 0.498
N1 0.000 0.000 0.746
```


A plane-wave DFT calculation with PBE was carried out for a geometry-optimized MnVN2 structure.

Properties
- Crystal system: orthorhombic
- Formation energy from raw total energies: -0.517 eV/atom
- Final energy: -148.0 eV for the cell shown

CIF file:
```
data_MnVN2
_space_group_name_H-M_alt 'P n a 21'
_space_group_IT_number 33
_cell_length_a 5.256
_cell_length_b 6.090
_cell_length_c 5.344
_cell_angle_alpha 90.00
_cell_angle_beta 90.00
_cell_angle_gamma 90.00
loop_
_space_group_symop_operation_xyz
'x,y,z'
'-x,-y,z+1/2'
'-x+1/2,y+1/2,z+1/2'
'x+1/2,-y+1/2,z'
loop_
_atom_site_label
_atom_site_fract_x
_atom_site_fract_y
_atom_site_fract_z
Mn1 0.089 0.125 0.000
V1 0.089 0.625 0.010
N1 0.075 0.621 0.361
N2 0.078 0.130 0.360
```


A plane-wave DFT calculation with PBE was carried out for a geometry-optimized Mn2VZnN structure.

Properties
- Crystal system: tetragonal
- Formation energy from raw total energies: -0.296 eV/atom
- Final energy: -38.5 eV for the cell shown

CIF file:
```
data_Mn2VZnN
_space_group_name_H-M_alt 'P 4/m m m'
_space_group_IT_number 123
_space_group_name_Hall '-P 4 2'
_cell_length_a 3.801
_cell_length_b 3.801
_cell_length_c 3.919
_cell_angle_alpha 90.00
_cell_angle_beta 90.00
_cell_angle_gamma 90.00
loop_
_atom_site_label
_atom_site_fract_x
_atom_site_fract_y
_atom_site_fract_z
Mn1 0.000 0.500 0.000
V1 0.000 0.000 0.500
Zn1 0.500 0.500 0.500
N1 0.000 0.000 0.000
```


A plane-wave DFT calculation with PBE was carried out for a geometry-optimized ZrMnVN2 structure.

Properties
- Crystal system: tetragonal
- Formation energy from raw total energies: 1.063 eV/atom
- Final energy: -38.2 eV for the cell shown

CIF file:
```
data_ZrMnVN2
_space_group_name_H-M_alt 'P 4/m m m'
_space_group_IT_number 123
_space_group_name_Hall '-P 4 2'
_cell_length_a 3.715
_cell_length_b 3.715
_cell_length_c 5.024
_cell_angle_alpha 90.00
_cell_angle_beta 90.00
_cell_angle_gamma 90.00
loop_
_atom_site_label
_atom_site_fract_x
_atom_site_fract_y
_atom_site_fract_z
Zr1 0.000 0.000 0.000
Mn1 0.000 0.000 0.500
V1 0.500 0.500 0.000
N1 0.000 0.500 0.500
```


A plane-wave DFT calculation with PBE was carried out for a geometry-optimized Mn2WN structure.

Properties
- Crystal system: tetragonal
- Formation energy from raw total energies: 0.397 eV/atom
- Final energy: -152.1 eV for the cell shown

CIF file:
```
data_Mn2WN
_space_group_name_H-M_alt 'I -4 2 d'
_space_group_IT_number 122
_space_group_name_Hall 'I -4 2bw'
_cell_length_a 5.180
_cell_length_b 5.180
_cell_length_c 7.803
_cell_angle_alpha 90.00
_cell_angle_beta 90.00
_cell_angle_gamma 90.00
loop_
_atom_site_label
_atom_site_fract_x
_atom_site_fract_y
_atom_site_fract_z
Mn1 0.145 0.250 0.125
W1 0.000 0.000 0.500
N1 0.000 0.000 0.000
```


A plane-wave DFT calculation with PBE was carried out for a geometry-optimized MnWN structure.

Properties
- Polymorph energy (0 for the lowest one): 0 kJ/mol of formula units
- Crystal system: cubic
- Formation energy from raw total energies: 0.200 eV/atom
- Final energy: -119.4 eV for the cell shown

CIF file:
```
data_MnWN
_space_group_name_H-M_alt 'P 21 3'
_space_group_IT_number 198
_space_group_name_Hall 'P 2ac 2ab 3'
_cell_length_a 5.450
_cell_length_b 5.450
_cell_length_c 5.450
_cell_angle_alpha 90.00
_cell_angle_beta 90.00
_cell_angle_gamma 90.00
loop_
_atom_site_label
_atom_site_fract_x
_atom_site_fract_y
_atom_site_fract_z
Mn1 0.138 0.138 0.138
W1 0.149 0.351 0.649
N1 0.161 0.661 0.839
```


A plane-wave DFT calculation with PBE was carried out for a geometry-optimized MnWN structure.

Properties
- Polymorph energy (0 for the lowest one): 84 kJ/mol of formula units
- Crystal system: trigonal
- Formation energy from raw total energies: 0.492 eV/atom
- Final energy: -29.0 eV for the cell shown

CIF file:
```
data_MnWN
_space_group_name_H-M_alt 'P 3 m 1'
_space_group_IT_number 156
_cell_length_a 3.5514
_cell_length_b 3.5514
_cell_length_c 3.0169
_cell_angle_alpha 90.00
_cell_angle_beta 90.00
_cell_angle_gamma 120.00
loop_
_space_group_symop_operation_xyz
'x,y,z'
'-y,x-y,z'
'-x+y,-x,z'
'-y,-x,z'
'-x+y,y,z'
'x,x-y,z'
loop_
_atom_site_label
_atom_site_fract_x
_atom_site_fract_y
_atom_site_fract_z
Mn1 0.0000 0.0000 0.0000
W1 0.6667 0.3333 0.5678
N1 0.3333 0.6667 0.8496
```


A plane-wave DFT calculation with PBE was carried out for a geometry-optimized Mn21W2N6 structure.

Properties
- Crystal system: cubic
- Formation energy from raw total energies: -0.064 eV/atom
- Final energy: -1081.1 eV for the cell shown

CIF file:
```
data_Mn21W2N6
_space_group_name_H-M_alt 'F m -3 m'
_space_group_IT_number 225
_space_group_name_Hall '-F 4 2 3'
_cell_length_a 10.464
_cell_length_b 10.464
_cell_length_c 10.464
_cell_angle_alpha 90.00
_cell_angle_beta 90.00
_cell_angle_gamma 90.00
loop_
_atom_site_label
_atom_site_fract_x
_atom_site_fract_y
_atom_site_fract_z
Mn1 0.000 0.000 0.000
Mn2 0.000 0.166 0.166
Mn3 0.116 0.116 0.384
W1 0.250 0.250 0.250
N1 0.000 0.000 0.274
```


A plane-wave DFT calculation with PBE was carried out for a geometry-optimized MnWN3 structure.

Properties
- Crystal system: cubic
- Formation energy from raw total energies: 1.078 eV/atom
- Final energy: -41.7 eV for the cell shown

CIF file:
```
data_MnWN3
_space_group_name_H-M_alt 'P m -3 m'
_space_group_IT_number 221
_space_group_name_Hall '-P 4 2 3'
_cell_length_a 3.628
_cell_length_b 3.628
_cell_length_c 3.628
_cell_angle_alpha 90.00
_cell_angle_beta 90.00
_cell_angle_gamma 90.00
loop_
_atom_site_label
_atom_site_fract_x
_atom_site_fract_y
_atom_site_fract_z
Mn1 0.000 0.000 0.000
W1 0.500 0.500 0.500
N1 0.000 0.000 0.500
```


A plane-wave DFT calculation with PBE was carried out for a geometry-optimized MnWN3 structure.

Properties
- Crystal system: cubic
- Formation energy from raw total energies: 0.474 eV/atom
- Final energy: -44.7 eV for the cell shown

CIF file:
```
data_MnWN3
_space_group_name_H-M_alt 'P m -3 m'
_space_group_IT_number 221
_space_group_name_Hall '-P 4 2 3'
_cell_length_a 3.937
_cell_length_b 3.937
_cell_length_c 3.937
_cell_angle_alpha 90.00
_cell_angle_beta 90.00
_cell_angle_gamma 90.00
loop_
_atom_site_label
_atom_site_fract_x
_atom_site_fract_y
_atom_site_fract_z
Mn1 0.000 0.000 0.000
W1 0.500 0.500 0.500
N1 0.000 0.500 0.500
```


A plane-wave DFT calculation with PBE was carried out for a geometry-optimized MnZn2WN4 structure.

Properties
- Crystal system: tetragonal
- Formation energy from raw total energies: -0.223 eV/atom
- Final energy: -119.5 eV for the cell shown

CIF file:
```
data_MnZn2WN4
_space_group_name_H-M_alt 'I -4 2 m'
_space_group_IT_number 121
_space_group_name_Hall 'I -4 2'
_cell_length_a 4.703
_cell_length_b 4.703
_cell_length_c 9.200
_cell_angle_alpha 90.00
_cell_angle_beta 90.00
_cell_angle_gamma 90.00
loop_
_atom_site_label
_atom_site_fract_x
_atom_site_fract_y
_atom_site_fract_z
Mn1 0.000 0.000 0.000
Zn1 0.000 0.500 0.250
W1 0.000 0.000 0.500
N1 0.233 0.233 0.381
```


A plane-wave DFT calculation with PBE was carried out for a geometry-optimized Y2MnN structure.

Properties
- Crystal system: tetragonal
- Formation energy from raw total energies: -0.292 eV/atom
- Final energy: -126.4 eV for the cell shown

CIF file:
```
data_Y2MnN
_space_group_name_H-M_alt 'I -4 2 d'
_space_group_IT_number 122
_space_group_name_Hall 'I -4 2bw'
_cell_length_a 6.778
_cell_length_b 6.778
_cell_length_c 7.949
_cell_angle_alpha 90.00
_cell_angle_beta 90.00
_cell_angle_gamma 90.00
loop_
_atom_site_label
_atom_site_fract_x
_atom_site_fract_y
_atom_site_fract_z
Y1 0.158 0.250 0.125
Mn1 0.000 0.000 0.500
N1 0.000 0.000 0.000
```


A plane-wave DFT calculation with PBE was carried out for a geometry-optimized Y2Mn3N4 structure.

Properties
- Crystal system: monoclinic
- Formation energy from raw total energies: -0.783 eV/atom
- Final energy: -323.2 eV for the cell shown

CIF file:
```
data_Y2Mn3N4
_space_group_name_H-M_alt 'C 1 2/c 1'
_space_group_IT_number 15
_cell_length_a 10.158
_cell_length_b 7.166
_cell_length_c 6.454
_cell_angle_alpha 90.00
_cell_angle_beta 105.91
_cell_angle_gamma 90.00
loop_
_space_group_symop_operation_xyz
'x,y,z'
'-x,-y,-z'
'-x,y,-z+1/2'
'x,-y,z+1/2'
'x+1/2,y+1/2,z'
'-x+1/2,-y+1/2,-z'
'-x+1/2,y+1/2,-z+1/2'
'x+1/2,-y+1/2,z+1/2'
loop_
_atom_site_label
_atom_site_fract_x
_atom_site_fract_y
_atom_site_fract_z
Y1 0.212 0.109 0.236
Mn1 0.000 0.232 0.750
Mn2 0.029 0.369 0.416
N1 0.118 0.165 0.555
N2 0.128 0.403 0.986
```


A plane-wave DFT calculation with PBE was carried out for a geometry-optimized Y2MnN structure.

Properties
- Crystal system: trigonal
- Formation energy from raw total energies: -0.332 eV/atom
- Final energy: -95.3 eV for the cell shown

CIF file:
```
data_Y2MnN
_space_group_name_H-M_alt 'R -3 m'
_space_group_IT_number 166
_space_group_name_Hall '-R 3 2"'
_cell_length_a 3.3885
_cell_length_b 3.3885
_cell_length_c 25.7590
_cell_angle_alpha 90.00
_cell_angle_beta 90.00
_cell_angle_gamma 120.00
loop_
_atom_site_label
_atom_site_fract_x
_atom_site_fract_y
_atom_site_fract_z
Y1 0.0000 0.0000 0.1143
Mn1 0.0000 0.0000 0.0000
N1 0.0000 0.0000 0.5000
```


A plane-wave DFT calculation with PBE was carried out for a geometry-optimized Y3Mn5N12 structure.

Properties
- Crystal system: cubic
- Formation energy from raw total energies: -0.478 eV/atom
- Final energy: -1397.7 eV for the cell shown

CIF file:
```
data_Y3Mn5N12
_space_group_name_H-M_alt 'I a -3 d'
_space_group_IT_number 230
_space_group_name_Hall '-I 4bd 2c 3'
_cell_length_a 12.220
_cell_length_b 12.220
_cell_length_c 12.220
_cell_angle_alpha 90.00
_cell_angle_beta 90.00
_cell_angle_gamma 90.00
loop_
_atom_site_label
_atom_site_fract_x
_atom_site_fract_y
_atom_site_fract_z
Y1 0.000 0.250 0.125
Mn1 0.000 0.000 0.000
Mn2 0.000 0.250 0.375
N1 0.037 0.048 0.651
```


A plane-wave DFT calculation with PBE was carried out for a geometry-optimized YMnN2 structure.

Properties
- Crystal system: cubic
- Formation energy from raw total energies: -0.050 eV/atom
- Final energy: -129.9 eV for the cell shown

CIF file:
```
data_YMnN2
_space_group_name_H-M_alt 'F m -3 m'
_space_group_IT_number 225
_space_group_name_Hall '-F 4 2 3'
_cell_length_a 5.526
_cell_length_b 5.526
_cell_length_c 5.526
_cell_angle_alpha 90.00
_cell_angle_beta 90.00
_cell_angle_gamma 90.00
loop_
_atom_site_label
_atom_site_fract_x
_atom_site_fract_y
_atom_site_fract_z
Y1 0.000 0.000 0.000
Mn1 0.000 0.000 0.500
N1 0.250 0.250 0.250
```


A plane-wave DFT calculation with PBE was carried out for a geometry-optimized YMnN2 structure.

Properties
- Crystal system: tetragonal
- Formation energy from raw total energies: -0.714 eV/atom
- Final energy: -140.6 eV for the cell shown

CIF file:
```
data_YMnN2
_space_group_name_H-M_alt 'I -4 2 d'
_space_group_IT_number 122
_space_group_name_Hall 'I -4 2bw'
_cell_length_a 4.661
_cell_length_b 4.661
_cell_length_c 9.759
_cell_angle_alpha 90.00
_cell_angle_beta 90.00
_cell_angle_gamma 90.00
loop_
_atom_site_label
_atom_site_fract_x
_atom_site_fract_y
_atom_site_fract_z
Y1 0.000 0.000 0.000
Mn1 0.000 0.000 0.500
N1 0.163 0.250 0.625
```


A plane-wave DFT calculation with PBE was carried out for a geometry-optimized YMnN structure.

Properties
- Crystal system: monoclinic
- Formation energy from raw total energies: -0.824 eV/atom
- Final energy: -105.7 eV for the cell shown

CIF file:
```
data_YMnN
_space_group_name_H-M_alt 'C 1 2/m 1'
_space_group_IT_number 12
_cell_length_a 4.901
_cell_length_b 4.751
_cell_length_c 7.263
_cell_angle_alpha 90.00
_cell_angle_beta 94.45
_cell_angle_gamma 90.00
loop_
_space_group_symop_operation_xyz
'x,y,z'
'-x,-y,-z'
'-x,y,-z'
'x,-y,z'
'x+1/2,y+1/2,z'
'-x+1/2,-y+1/2,-z'
'-x+1/2,y+1/2,-z'
'x+1/2,-y+1/2,z'
loop_
_atom_site_label
_atom_site_fract_x
_atom_site_fract_y
_atom_site_fract_z
Y1 0.230 0.000 0.332
Mn1 0.192 0.500 0.065
N1 0.235 0.500 0.331
```